No. 1
Below is a relaxed structure of HoTmPb2, with properties calculated at the PBE-GGA level.

Lattice parameters (Å, degrees): 4.749 4.749 7.069 70.37 70.37 60.00
Atoms (fractional coordinates):
Ho (0.672, 0.672, 0.985)
Tm (0.493, 0.493, 0.521)
Pb (0.085, 0.085, 0.745)
Pb (0.250, 0.250, 0.249)

Results
Its formation energy is -304 meV per atom.



No. 2
Below is a relaxed structure of Hf2SbAs2, with properties calculated at the PBE-GGA level.

Lattice parameters (Å, degrees): 7.695 7.695 3.483 90.00 90.00 90.00
Atoms (fractional coordinates):
Sb (0.000, 0.000, 0.000)
Sb (0.500, 0.500, 0.000)
As (0.138, 0.638, 0.500)
As (0.638, 0.862, 0.500)
As (0.862, 0.362, 0.500)
As (0.362, 0.138, 0.500)
Hf (0.347, 0.847, 0.000)
Hf (0.847, 0.653, 0.000)
Hf (0.653, 0.153, 0.000)
Hf (0.153, 0.347, 0.000)

Results
The uncorrected formation energy comes out at -0.65 eV per atom. The value obtained for the relative energy among the computed polymorphs is 0 meV/atom.



No. 3
Below is a relaxed structure of AcPaSb, with properties calculated at the PBE-GGA level.

Lattice parameters (Å, degrees): 4.462 4.462 11.900 100.81 100.81 90.00
Atoms (fractional coordinates):
Sb (0.091, 0.091, 0.182)
Sb (0.909, 0.909, 0.818)
Ac (0.630, 0.630, 0.259)
Ac (0.370, 0.370, 0.741)
Pa (0.772, 0.772, 0.544)
Pa (0.228, 0.228, 0.456)

Results
The uncorrected formation energy comes out at -0.06 eV per atom. The value obtained for the relative energy among the computed polymorphs is 126 meV/atom.



No. 4
Below is a relaxed structure of SrCr2Pt, with properties calculated at the PBE-GGA level.

Lattice parameters (Å, degrees): 5.052 5.052 5.052 128.46 123.73 79.79
Atoms (fractional coordinates):
Cr (0.011, 0.011, 0.000)
Cr (0.257, 0.757, 0.500)
Pt (0.485, 0.485, 0.000)
Sr (0.747, 0.247, 0.500)

Results
Its formation energy is 343 meV per atom.



No. 5
Below is a relaxed structure of LiBe5Pd6, with properties calculated at the PBE-GGA level.

Lattice parameters (Å, degrees): 4.003 5.750 6.945 114.45 106.62 90.00
Atoms (fractional coordinates):
Be (0.665, 0.165, 0.330)
Be (0.333, 0.332, 0.666)
Be (0.000, 0.500, 0.000)
Be (0.667, 0.668, 0.334)
Be (0.335, 0.835, 0.670)
Pd (0.831, 0.577, 0.662)
Pd (0.831, 0.084, 0.662)
Pd (0.500, 0.743, 0.000)
Pd (0.500, 0.257, 0.000)
Pd (0.169, 0.916, 0.338)
Pd (0.169, 0.423, 0.338)
Li (0.000, 0.000, 0.000)

Results
Its formation energy is -583 meV per atom.



No. 6
Below is a relaxed structure of Sn4As3Au, with properties calculated at the PBE-GGA level.

Lattice parameters (Å, degrees): 4.157 4.157 17.079 83.01 83.01 60.00
Atoms (fractional coordinates):
As (0.750, 0.750, 0.750)
As (0.494, 0.494, 0.517)
As (0.260, 0.260, 0.220)
Au (0.004, 0.004, 0.987)
Sn (0.058, 0.058, 0.826)
Sn (0.804, 0.804, 0.589)
Sn (0.567, 0.567, 0.298)
Sn (0.313, 0.313, 0.062)

Results
Its formation energy is -26 meV per atom.



No. 7
Below is a relaxed structure of BeCdPt3, with properties calculated at the PBE-GGA level.

Lattice parameters (Å, degrees): 5.701 5.701 5.701 69.62 69.62 69.62
Atoms (fractional coordinates):
Be (0.029, 0.029, 0.029)
Be (0.529, 0.529, 0.529)
Pt (0.200, 0.822, 0.703)
Pt (0.322, 0.700, 0.203)
Pt (0.203, 0.322, 0.700)
Pt (0.700, 0.203, 0.322)
Pt (0.822, 0.703, 0.200)
Pt (0.703, 0.200, 0.822)
Cd (0.228, 0.228, 0.228)
Cd (0.728, 0.728, 0.728)

Results
The value obtained for the relative energy among the computed polymorphs is 164 meV/atom. Its formation energy is -274 meV per atom.



No. 8
Below is a relaxed structure of Eu2InCu, with properties calculated at the PBE-GGA level.

Lattice parameters (Å, degrees): 3.904 3.904 10.719 79.51 79.51 60.00
Atoms (fractional coordinates):
Eu (0.107, 0.107, 0.679)
Eu (0.893, 0.893, 0.321)
Cu (0.500, 0.500, 0.500)
In (0.000, 0.000, 0.000)

Results
Its formation energy is 133 meV per atom.